Record 1
13
Lattice="-3.1308 -0.0995 -3.8562 2.9512 -2.3252 -5.5364 -3.2592 -5.8294 -0.4037" Properties=species:S:1:pos:R:3 comment="ErZn8Cu4, relaxed, DFT PBE-GGA" energy_ev_per_cell=-33.7 ef_mev_per_atom=-198 n_ef_per_ev_atom=0.490 spacegroup="No. 139" magnetic_moment_mub_per_fu=0.00 pbc="T T T"
Er 0.0000 0.0000 0.0000
Cu -1.6296 -2.9147 -0.2018
Cu -3.1950 -2.9645 -2.1299
Cu 1.4756 -1.1626 -2.7682
Cu -0.0898 -1.2123 -4.6963
Zn -2.4870 -6.4534 -7.4152
Zn 0.7959 -3.5413 -3.7551
Zn -1.1039 -4.6133 -2.1850
Zn -2.1511 -2.8951 -4.5794
Zn -3.4746 -5.1175 -3.4475
Zn -0.9518 -1.8007 -2.3811
Zn -1.2876 -5.3591 -5.2168
Zn 0.0359 -3.1367 -6.3488


Record 2
5
Lattice="-2.4851 1.1910 -2.1165 -2.3025 -2.1186 1.5113 -0.7725 2.4833 2.3044" Properties=species:S:1:pos:R:3 comment="TiB3C, relaxed, DFT PBE-GGA" energy_ev_per_cell=-30.7 ef_mev_per_atom=1286 n_ef_per_ev_atom=0.420 relative_energy_kcal_per_mol_atoms=0.00 spacegroup="No. 221" magnetic_moment_mub_per_fu=0.00 pbc="T T T"
B -1.2426 0.5955 -1.0583
B -1.1512 -1.0593 0.7557
B -0.3862 1.2417 1.1522
C 0.0000 0.0000 0.0000
Ti -2.7800 0.7778 0.8496


Record 3
5
Lattice="-2.6519 1.8518 -0.9032 -1.4135 -2.7063 -1.3984 -6.4737 -2.5725 7.4899" Properties=species:S:1:pos:R:3 comment="Sr2Fe2Ag, relaxed, DFT PBE-GGA" energy_ev_per_cell=-20.6 ef_mev_per_atom=515 n_ef_per_ev_atom=1.396 relative_energy_kcal_per_mol_atoms=2.44 spacegroup="No. 139" magnetic_moment_mub_per_fu=0.00 pbc="T T T"
Sr -7.4504 -2.4897 4.2844
Sr -3.0887 -0.9374 0.9038
Fe -4.9599 -2.8531 2.4703
Fe -5.5792 -0.5740 2.7179
Ag 0.0000 0.0000 0.0000


Record 4
9
Lattice="4.4628 0.0000 0.0000 0.0000 6.0135 0.0000 -2.2314 -3.0068 6.5071" Properties=species:S:1:pos:R:3 comment="YBeZn2Au5, relaxed, DFT PBE-GGA" energy_ev_per_cell=-31.6 ef_mev_per_atom=-274 n_ef_per_ev_atom=0.407 spacegroup="No. 71" magnetic_moment_mub_per_fu=0.00 pbc="T T T"
Zn 0.0000 0.0000 2.5808
Zn 2.2314 3.0068 3.9263
Au 0.0000 -1.4247 4.7575
Au 2.2314 4.4315 1.7496
Au 2.2314 1.5820 1.7496
Au 0.0000 1.4247 4.7575
Au 0.0000 0.0000 0.0000
Y 0.0000 3.0068 0.0000
Be 2.2314 0.0000 0.0000


Record 5
5
Lattice="-4.0559 1.6430 0.1977 -1.6447 -4.0600 0.0012 0.1837 -0.0731 4.3760" Properties=species:S:1:pos:R:3 comment="Mn4Si, relaxed, DFT PBE-GGA" energy_ev_per_cell=-38.3 n_ef_per_ev_atom=0.868 e_form_raw_ev_per_atom=0.761 relative_energy_kcal_per_mol_atoms=1.24 spacegroup="No. 221" magnetic_moment_mub_per_fu=13.02 pbc="T T T"
Si -2.7585 -1.2451 2.2874
Mn -2.8503 -1.2085 0.0994
Mn -0.7305 -2.0666 2.1886
Mn -1.9361 0.7850 2.2869
Mn 0.0000 0.0000 0.0000


Record 6
16
Lattice="4.0920 0.0000 0.0000 0.0000 8.0531 0.0000 0.0000 0.0000 13.0225" Properties=species:S:1:pos:R:3 comment="Tm5Te2Ir, relaxed, DFT PBE-GGA" energy_ev_per_cell=-88.9 n_ef_per_ev_atom=0.931 e_form_raw_ev_per_atom=-0.870 relative_energy_kcal_per_mol_atoms=0.00 spacegroup="No. 55" magnetic_moment_mub_per_fu=0.00 pbc="T T T"
Tm 0.0000 5.3432 8.9023
Tm 0.0000 0.0000 6.5112
Tm 0.0000 6.7365 2.3910
Tm 2.0460 2.6670 7.6178
Tm 0.0000 1.3166 10.6315
Tm 0.0000 4.0266 0.0000
Tm 0.0000 2.7099 4.1202
Tm 2.0460 5.3862 5.4046
Tm 2.0460 6.6936 11.9159
Tm 2.0460 1.3596 1.1066
Te 2.0460 0.3158 4.1925
Te 2.0460 7.7373 8.8300
Te 2.0460 3.7108 10.7038
Te 2.0460 4.3424 2.3187
Ir 0.0000 0.0000 0.0000
Ir 0.0000 4.0266 6.5112


Record 7
11
Lattice="5.6887 0.0000 0.0000 0.0000 8.0934 0.3537 -2.8443 -3.0442 10.4716" Properties=species:S:1:pos:R:3 comment="Ba8HgGe2, relaxed, DFT PBE-GGA" energy_ev_per_cell=-28.3 ef_mev_per_atom=-311 n_ef_per_ev_atom=0.948 spacegroup="No. 12" magnetic_moment_mub_per_fu=0.00 pbc="T T T"
Ge 0.0000 4.6949 4.3086
Ge 2.8443 0.3543 6.5167
Hg 2.8443 0.0000 0.0000
Ba 0.0000 6.1731 1.1600
Ba 2.8443 6.7656 3.8948
Ba 2.8443 3.6500 6.3468
Ba 0.0000 1.3992 4.4785
Ba 2.8443 -1.1239 9.6653
Ba 2.8443 3.0334 2.1026
Ba 0.0000 2.0158 8.7227
Ba 0.0000 -1.7164 6.9305


Record 8
4
Lattice="-1.1520 2.6514 -0.8577 -3.5139 -1.9972 -1.4542 -1.8467 0.4439 3.8528" Properties=species:S:1:pos:R:3 comment="NbCr2Os, relaxed, DFT PBE-GGA" energy_ev_per_cell=-40.4 ef_mev_per_atom=37 n_ef_per_ev_atom=1.014 relative_energy_kcal_per_mol_atoms=0.00 spacegroup="No. 123" magnetic_moment_mub_per_fu=0.00 pbc="T T T"
Os -3.2563 0.5490 0.7705
Cr -0.9234 0.2219 1.9264
Cr -1.7570 -0.9986 -0.7271
Nb -0.5760 1.3257 -0.4288


Record 9
5
Lattice="-2.7829 1.6474 -3.2337 3.2280 -0.9612 -3.2677 -1.8095 -4.1622 -0.5632" Properties=species:S:1:pos:R:3 comment="Ti2NbGaW, relaxed, DFT PBE-GGA" energy_ev_per_cell=-36.7 ef_mev_per_atom=1019 n_ef_per_ev_atom=0.997 spacegroup="No. 123" magnetic_moment_mub_per_fu=0.00 pbc="T T T"
Ga 0.0000 0.0000 0.0000
Ti -1.3915 0.8237 -1.6168
Ti -0.9047 -2.0811 -0.2816
Nb -0.6822 -1.7380 -3.5323
W 1.6140 -0.4806 -1.6339


Record 10
12
Lattice="4.8215 0.0962 0.2088 0.1157 4.5065 0.1029 0.2578 0.1488 6.4965" Properties=species:S:1:pos:R:3 comment="BeHgH2F8, relaxed, DFT PBE-GGA" energy_ev_per_cell=-45.1 n_ef_per_ev_atom=0.015 spacegroup="No. 2" magnetic_moment_mub_per_fu=0.00 pbc="T T T"
F 1.5823 1.3227 6.2044
F 1.5090 1.4682 3.2538
F 4.0279 1.1801 1.1369
F 3.6127 3.4289 0.6038
F 1.0319 3.8415 1.6769
F 1.1671 3.5714 5.6714
F 3.6860 3.2834 3.5545
F 4.1631 0.9101 5.1314
Be 0.0000 0.0000 0.0000
H 3.7864 2.4360 0.8351
H 1.4086 2.3156 5.9731
Hg 0.1289 0.0744 3.2483


Record 11
4
Lattice="-3.6114 -4.1816 0.2718 0.7913 -3.9770 3.7629 -0.7472 5.4206 -0.8130" Properties=species:S:1:pos:R:3 comment="Zr2TcOs, relaxed, DFT PBE-GGA" energy_ev_per_cell=-39.8 ef_mev_per_atom=-282 n_ef_per_ev_atom=0.667 spacegroup="No. 44" magnetic_moment_mub_per_fu=0.00 pbc="T T T"
Zr -2.8647 -1.3634 0.7100
Zr -0.0216 -0.0625 0.0309
Tc -0.6987 -1.3631 2.5060
Os -1.3924 -4.0283 1.9921


Record 12
4
Lattice="3.7932 0.0000 0.0000 0.0000 3.7932 0.0000 0.0000 0.0000 8.7790" Properties=species:S:1:pos:R:3 comment="LaPr2Ag, relaxed, DFT PBE-GGA" energy_ev_per_cell=-17.8 ef_mev_per_atom=-108 n_ef_per_ev_atom=1.537 relative_energy_kcal_per_mol_atoms=0.00 spacegroup="No. 123" magnetic_moment_mub_per_fu=0.00 pbc="T T T"
Pr 0.0000 0.0000 6.9077
Pr 0.0000 0.0000 1.8712
Ag 1.8966 1.8966 0.0000
La 1.8966 1.8966 4.3895